Entry 1:
Tm4CdAg2Pd: optimized geometry, PBE.

Lattice parameters (Å, degrees): 5.067 5.067 8.751 73.17 73.17 60.00
Element x y z (fractional)
Cd1 0.000 0.000 0.000
Pd1 0.500 0.500 0.500
Ag1 0.744 0.744 0.767
Ag2 0.256 0.256 0.233
Tm1 0.619 0.619 0.143
Tm2 0.381 0.381 0.857
Tm3 0.870 0.870 0.389
Tm4 0.130 0.130 0.611

total magnetic moment = 0.0 μB/cell
E_form = -0.486 eV per atom
calculated density = 10052 kg/m3

Entry 2:
Zn2Cd2AgPd5: optimized geometry, PBE.

Lattice parameters (Å, degrees): 3.752 9.503 9.503 90.00 90.00 90.00
Element x y z (fractional)
Cd1 0.000 0.671 0.171
Cd2 0.000 0.171 0.329
Cd3 0.000 0.329 0.829
Cd4 0.000 0.829 0.671
Pd1 0.500 0.000 0.500
Pd2 0.500 0.420 0.300
Pd3 0.500 0.700 0.420
Pd4 0.500 0.800 0.920
Pd5 0.500 0.580 0.700
Pd6 0.500 0.300 0.580
Pd7 0.500 0.080 0.800
Pd8 0.500 0.500 0.000
Pd9 0.500 0.200 0.080
Pd10 0.500 0.920 0.200
Zn1 0.000 0.127 0.627
Zn2 0.000 0.873 0.373
Zn3 0.000 0.627 0.873
Zn4 0.000 0.373 0.127
Ag1 0.000 0.500 0.500
Ag2 0.000 0.000 0.000

total magnetic moment = 0.0 μB/cell
E_form = -0.266 eV per atom
calculated density = 9759 kg/m3